(1)
Here is a relaxed K2Sr3NpO6 crystal from Alexandria via LeMat-Bulk. Energies are from PBE.

a = 6.4510 Å, b = 6.4510 Å, c = 6.2376 Å
α = 100.60°, β = 100.60°, γ = 119.05°
Element x y z (fractional)
K: 0.1667 0.8333 0.0000
K: 0.8333 0.1667 0.0000
Sr: 0.0000 0.0000 0.5000
Sr: 0.3315 0.6685 0.5000
Sr: 0.6685 0.3315 0.5000
Np: 0.5000 0.5000 0.0000
O: 0.1314 0.4169 0.7457
O: 0.3087 0.3087 0.2316
O: 0.4169 0.1314 0.7457
O: 0.5831 0.8686 0.2543
O: 0.6913 0.6913 0.7684
O: 0.8686 0.5831 0.2543

Results
V   17.623 A^3/atom
Formation energy (no corrections)   -2825 kJ/mol of formula units
Magnetic moment   3.0 μB per formula unit
Total energy   -6.601 eV per atom

---

(2)
Here is a relaxed RbIn2TcSn crystal from Alexandria via LeMat-Bulk. Energies are from PBE.

a = 5.3393 Å, b = 5.3393 Å, c = 5.2040 Å
α = 90.00°, β = 90.00°, γ = 90.00°
Element x y z (fractional)
Rb: 0.0000 0.0000 0.0000
In: 0.0000 0.5000 0.5000
In: 0.5000 0.0000 0.5000
Tc: 0.5000 0.5000 0.5000
Sn: 0.5000 0.5000 0.0000

Results
V   29.671 A^3/atom
Magnetic moment   0.0 μB per formula unit
Total energy   -4.215 eV per atom
Formation enthalpy at 0 K   -52 meV per atom

---

(3)
Here is a relaxed InGa2Ag8 crystal from Alexandria via LeMat-Bulk. Energies are from PBE.

a = 7.8447 Å, b = 7.8447 Å, c = 6.5978 Å
α = 104.05°, β = 104.05°, γ = 30.31°
Element x y z (fractional)
In: 0.0000 0.0000 0.0000
Ga: 0.2753 0.2753 0.3558
Ga: 0.7247 0.7247 0.6442
Ag: 0.0947 0.0947 0.4584
Ag: 0.1828 0.1828 0.9147
Ag: 0.3572 0.3572 0.7999
Ag: 0.4524 0.4524 0.2755
Ag: 0.5476 0.5476 0.7245
Ag: 0.6428 0.6428 0.2001
Ag: 0.8172 0.8172 0.0853
Ag: 0.9053 0.9053 0.5416

Results
Distance to the lowest polymorph of the same formula   0.000 eV per atom
V   18.030 A^3/atom
Magnetic moment   0.0 μB per formula unit
Total energy   -2.886 eV per atom
Formation enthalpy at 0 K   -13 meV per atom

---

(4)
Here is a relaxed ScCoMo2 crystal from Alexandria via LeMat-Bulk. Energies are from PBE.

a = 2.7434 Å, b = 2.7434 Å, c = 8.2698 Å
α = 90.00°, β = 90.00°, γ = 90.00°
Element x y z (fractional)
Sc: 0.0000 0.0000 0.0000
Co: 0.5000 0.5000 0.2310
Mo: 0.0000 0.0000 0.4295
Mo: 0.5000 0.5000 0.7057

Results
Distance to the lowest polymorph of the same formula   0.088 eV per atom
V   15.561 A^3/atom
Magnetic moment   0.0 μB per formula unit
Total energy   -8.670 eV per atom
Formation enthalpy at 0 K   105 meV per atom

---

(5)
Here is a relaxed TlInGaHg2 crystal from Alexandria via LeMat-Bulk. Energies are from PBE.

a = 4.8938 Å, b = 4.8938 Å, c = 6.8666 Å
α = 90.00°, β = 90.00°, γ = 120.00°
Element x y z (fractional)
Tl: 0.0000 0.0000 0.0000
In: 0.6667 0.3333 0.3534
Ga: 0.3333 0.6667 0.6665
Hg: 0.3333 0.6667 0.2311
Hg: 0.6667 0.3333 0.7842

Results
Distance to the lowest polymorph of the same formula   0.000 eV per atom
V   28.484 A^3/atom
Magnetic moment   0.0 μB per formula unit
Total energy   -1.673 eV per atom
Formation enthalpy at 0 K   74 meV per atom

---

(6)
Here is a relaxed BeCl2 crystal from Alexandria via LeMat-Bulk. Energies are from PBE.

a = 8.2047 Å, b = 8.2047 Å, c = 5.3216 Å
α = 90.00°, β = 90.00°, γ = 158.03°
Element x y z (fractional)
Be: 0.1883 0.8117 0.7500
Be: 0.8117 0.1883 0.2500
Cl: 0.2106 0.7894 0.2500
Cl: 0.3964 0.6036 0.2500
Cl: 0.6036 0.3964 0.7500
Cl: 0.7894 0.2106 0.7500

Results
Distance to the lowest polymorph of the same formula   0.326 eV per atom
V   22.341 A^3/atom
Formation energy (no corrections)   -321 kJ/mol of formula units
Magnetic moment   0.0 μB per formula unit
Total energy   -3.581 eV per atom